# PBE LaSmPtRh, relaxed
data_LaSmPtRh
_space_group_name_H-M_alt 'A m m 2'
_space_group_IT_number 38
_cell_length_a 4.4890
_cell_length_b 3.9210
_cell_length_c 10.7982
_cell_angle_alpha 90.00
_cell_angle_beta 90.00
_cell_angle_gamma 90.00
loop_
_space_group_symop_operation_xyz
'x,y,z'
'-x,-y,z'
'-x,y,z'
'x,-y,z'
'x,y+1/2,z+1/2'
'-x,-y+1/2,z+1/2'
'-x,y+1/2,z+1/2'
'x,-y+1/2,z+1/2'
loop_
_atom_site_label
_atom_site_type_symbol
_atom_site_fract_x
_atom_site_fract_y
_atom_site_fract_z
_atom_site_occupancy
La1 La 0.0000 0.0000 0.0000 1
Sm1 Sm 0.5000 0.0000 0.2798 1
Pt1 Pt 0.5000 0.0000 0.5594 1
Rh1 Rh 0.0000 0.0000 0.7391 1
# Formation enthalpy at 0 K, eV/f.u.: -3.92

# PBE Y4Sb2AsP, relaxed
data_Y4Sb2AsP
_space_group_name_H-M_alt 'P 1 2/m 1'
_space_group_IT_number 10
_cell_length_a 7.2862
_cell_length_b 4.2029
_cell_length_c 7.3926
_cell_angle_alpha 90.00
_cell_angle_beta 109.12
_cell_angle_gamma 90.00
loop_
_space_group_symop_operation_xyz
'x,y,z'
'-x,-y,-z'
'-x,y,-z'
'x,-y,z'
loop_
_atom_site_label
_atom_site_type_symbol
_atom_site_fract_x
_atom_site_fract_y
_atom_site_fract_z
_atom_site_occupancy
Y1 Y 0.2391 0.0000 0.2278 1
Y2 Y 0.2531 0.5000 0.7701 1
Sb1 Sb 0.0000 0.0000 0.5000 1
Sb2 Sb 0.5000 0.5000 0.5000 1
As1 As 0.5000 0.0000 0.0000 1
P1 P 0.0000 0.5000 0.0000 1
# Formation energy from raw total energies, eV/f.u.: -10.82

# PBE Hg6P2ICl2, relaxed
data_Hg6P2ICl2
_space_group_name_H-M_alt 'P -1'
_space_group_IT_number 2
_cell_length_a 6.7570
_cell_length_b 6.8590
_cell_length_c 7.6644
_cell_angle_alpha 97.88
_cell_angle_beta 91.03
_cell_angle_gamma 102.56
loop_
_space_group_symop_operation_xyz
'x,y,z'
'-x,-y,-z'
loop_
_atom_site_label
_atom_site_type_symbol
_atom_site_fract_x
_atom_site_fract_y
_atom_site_fract_z
_atom_site_occupancy
Hg1 Hg 0.0600 0.3364 0.0965 1
Hg2 Hg 0.2872 0.2521 0.6175 1
Hg3 Hg 0.3386 0.8461 0.5278 1
P1 P 0.1078 0.5448 0.6124 1
I1 I 0.5000 0.5000 0.0000 1
Cl1 Cl 0.1016 0.9381 0.2064 1
# Formation energy from raw total energies, eV/f.u.: -1.55

# PBE LaBiC, relaxed
data_LaBiC
_space_group_name_H-M_alt 'C 1 m 1'
_space_group_IT_number 8
_cell_length_a 7.0726
_cell_length_b 4.0547
_cell_length_c 11.2902
_cell_angle_alpha 90.00
_cell_angle_beta 105.96
_cell_angle_gamma 90.00
loop_
_space_group_symop_operation_xyz
'x,y,z'
'x,-y,z'
'x+1/2,y+1/2,z'
'x+1/2,-y+1/2,z'
loop_
_atom_site_label
_atom_site_type_symbol
_atom_site_fract_x
_atom_site_fract_y
_atom_site_fract_z
_atom_site_occupancy
La1 La 0.0000 0.0000 0.0000 1
La2 La 0.0045 0.0000 0.3101 1
Bi1 Bi 0.0559 0.5000 0.7608 1
Bi2 Bi 0.2940 0.5000 0.5587 1
C1 C 0.2804 0.0000 0.2052 1
C2 C 0.3901 0.0000 0.1253 1
# Formation enthalpy at 0 K, eV/f.u.: -0.39

# PBE DyScCSe, relaxed
data_DyScCSe
_space_group_name_H-M_alt 'R 3 m'
_space_group_IT_number 160
_space_group_name_Hall 'R 3 -2"'
_cell_length_a 3.6121
_cell_length_b 3.6121
_cell_length_c 19.4822
_cell_angle_alpha 90.00
_cell_angle_beta 90.00
_cell_angle_gamma 120.00
loop_
_atom_site_label
_atom_site_type_symbol
_atom_site_fract_x
_atom_site_fract_y
_atom_site_fract_z
_atom_site_occupancy
Dy1 Dy 0.0000 0.0000 0.0000 1
Sc1 Sc 0.0000 0.0000 0.2016 1
C1 C 0.0000 0.0000 0.5971 1
Se1 Se 0.0000 0.0000 0.7743 1
# Formation energy from raw total energies, eV/f.u.: -4.38

# PBE PmMnPtRh, relaxed
data_PmMnPtRh
_space_group_name_H-M_alt 'F -4 3 m'
_space_group_IT_number 216
_space_group_name_Hall 'F -4 2 3'
_cell_length_a 6.6877
_cell_length_b 6.6877
_cell_length_c 6.6877
_cell_angle_alpha 90.00
_cell_angle_beta 90.00
_cell_angle_gamma 90.00
loop_
_atom_site_label
_atom_site_type_symbol
_atom_site_fract_x
_atom_site_fract_y
_atom_site_fract_z
_atom_site_occupancy
Pm1 Pm 0.0000 0.0000 0.0000 1
Mn1 Mn 0.0000 0.0000 0.5000 1
Pt1 Pt 0.2500 0.2500 0.2500 1
Rh1 Rh 0.2500 0.2500 0.7500 1
# Formation enthalpy at 0 K, eV/f.u.: -1.85

# PBE LuTl2In, relaxed
data_LuTl2In
_space_group_name_H-M_alt 'P 4/m m m'
_space_group_IT_number 123
_space_group_name_Hall '-P 4 2'
_cell_length_a 4.7138
_cell_length_b 4.7138
_cell_length_c 4.6790
_cell_angle_alpha 90.00
_cell_angle_beta 90.00
_cell_angle_gamma 90.00
loop_
_atom_site_label
_atom_site_type_symbol
_atom_site_fract_x
_atom_site_fract_y
_atom_site_fract_z
_atom_site_occupancy
Lu1 Lu 0.0000 0.0000 0.0000 1
Tl1 Tl 0.0000 0.5000 0.5000 1
In1 In 0.5000 0.5000 0.0000 1
# Formation enthalpy at 0 K, eV/f.u.: -0.79

# PBE Ta2AgMo, relaxed
data_Ta2AgMo
_space_group_name_H-M_alt 'R 3 m'
_space_group_IT_number 160
_space_group_name_Hall 'R 3 -2"'
_cell_length_a 2.8480
_cell_length_b 2.8480
_cell_length_c 30.2604
_cell_angle_alpha 90.00
_cell_angle_beta 90.00
_cell_angle_gamma 120.00
loop_
_atom_site_label
_atom_site_type_symbol
_atom_site_fract_x
_atom_site_fract_y
_atom_site_fract_z
_atom_site_occupancy
Ta1 Ta 0.0000 0.0000 0.0000 1
Ta2 Ta 0.0000 0.0000 0.2475 1
Ag1 Ag 0.0000 0.0000 0.7504 1
Mo1 Mo 0.0000 0.0000 0.4986 1
# Formation enthalpy at 0 K, eV/f.u.: 1.46

# PBE SrInCuP2, relaxed
data_SrInCuP2
_space_group_name_H-M_alt 'C 1 2/m 1'
_space_group_IT_number 12
_cell_length_a 15.1813
_cell_length_b 4.1110
_cell_length_c 8.1685
_cell_angle_alpha 90.00
_cell_angle_beta 104.36
_cell_angle_gamma 90.00
loop_
_space_group_symop_operation_xyz
'x,y,z'
'-x,-y,-z'
'-x,y,-z'
'x,-y,z'
'x+1/2,y+1/2,z'
'-x+1/2,-y+1/2,-z'
'-x+1/2,y+1/2,-z'
'x+1/2,-y+1/2,z'
loop_
_atom_site_label
_atom_site_type_symbol
_atom_site_fract_x
_atom_site_fract_y
_atom_site_fract_z
_atom_site_occupancy
Sr1 Sr 0.2158 0.0000 0.2320 1
In1 In 0.0399 0.5000 0.7344 1
Cu1 Cu 0.1228 0.0000 0.5529 1
P1 P 0.1262 0.5000 0.4160 1
P2 P 0.1368 0.0000 0.8488 1
# Formation enthalpy at 0 K, eV/f.u.: -2.49

# PBE CdSi2Hg, relaxed
data_CdSi2Hg
_space_group_name_H-M_alt 'F -4 3 m'
_space_group_IT_number 216
_space_group_name_Hall 'F -4 2 3'
_cell_length_a 6.8833
_cell_length_b 6.8833
_cell_length_c 6.8833
_cell_angle_alpha 90.00
_cell_angle_beta 90.00
_cell_angle_gamma 90.00
loop_
_atom_site_label
_atom_site_type_symbol
_atom_site_fract_x
_atom_site_fract_y
_atom_site_fract_z
_atom_site_occupancy
Cd1 Cd 0.0000 0.0000 0.0000 1
Si1 Si 0.0000 0.0000 0.5000 1
Si2 Si 0.2500 0.2500 0.7500 1
Hg1 Hg 0.2500 0.2500 0.2500 1
# Formation energy from raw total energies, eV/f.u.: 2.23

# PBE Pm2NdTm, relaxed
data_Pm2NdTm
_space_group_name_H-M_alt 'P 4/m m m'
_space_group_IT_number 123
_space_group_name_Hall '-P 4 2'
_cell_length_a 4.2291
_cell_length_b 4.2291
_cell_length_c 7.5200
_cell_angle_alpha 90.00
_cell_angle_beta 90.00
_cell_angle_gamma 90.00
loop_
_atom_site_label
_atom_site_type_symbol
_atom_site_fract_x
_atom_site_fract_y
_atom_site_fract_z
_atom_site_occupancy
Pm1 Pm 0.0000 0.0000 0.2392 1
Nd1 Nd 0.5000 0.5000 0.5000 1
Tm1 Tm 0.5000 0.5000 0.0000 1
# Formation enthalpy at 0 K, eV/f.u.: 0.45

# PBE Hf2SnRh5, relaxed
data_Hf2SnRh5
_space_group_name_H-M_alt 'P b a m'
_space_group_IT_number 55
_cell_length_a 5.6281
_cell_length_b 11.1190
_cell_length_c 4.1258
_cell_angle_alpha 90.00
_cell_angle_beta 90.00
_cell_angle_gamma 90.00
loop_
_space_group_symop_operation_xyz
'x,y,z'
'-x,-y,-z'
'-x,-y,z'
'x,y,-z'
'x+1/2,-y+1/2,-z'
'-x+1/2,y+1/2,z'
'-x+1/2,y+1/2,-z'
'x+1/2,-y+1/2,z'
loop_
_atom_site_label
_atom_site_type_symbol
_atom_site_fract_x
_atom_site_fract_y
_atom_site_fract_z
_atom_site_occupancy
Hf1 Hf 0.1830 0.1417 0.0000 1
Sn1 Sn 0.0000 0.5000 0.5000 1
Rh1 Rh 0.0000 0.0000 0.5000 1
Rh2 Rh 0.0588 0.7477 0.5000 1
Rh3 Rh 0.2056 0.3849 0.0000 1
# Formation enthalpy at 0 K, eV/f.u.: -7.14

# PBE SrCd2Pd2, relaxed
data_SrCd2Pd2
_space_group_name_H-M_alt 'P 4/m b m'
_space_group_IT_number 127
_space_group_name_Hall '-P 4 2ab'
_cell_length_a 8.1913
_cell_length_b 8.1913
_cell_length_c 3.1627
_cell_angle_alpha 90.00
_cell_angle_beta 90.00
_cell_angle_gamma 90.00
loop_
_atom_site_label
_atom_site_type_symbol
_atom_site_fract_x
_atom_site_fract_y
_atom_site_fract_z
_atom_site_occupancy
Sr1 Sr 0.0000 0.0000 0.0000 1
Cd1 Cd 0.1230 0.3770 0.0000 1
Pd1 Pd 0.1744 0.6744 0.5000 1
# Formation enthalpy at 0 K, eV/f.u.: -1.94

# PBE Sr2SiB2, relaxed
data_Sr2SiB2
_space_group_name_H-M_alt 'P 4/m b m'
_space_group_IT_number 127
_space_group_name_Hall '-P 4 2ab'
_cell_length_a 6.7336
_cell_length_b 6.7336
_cell_length_c 4.3139
_cell_angle_alpha 90.00
_cell_angle_beta 90.00
_cell_angle_gamma 90.00
loop_
_atom_site_label
_atom_site_type_symbol
_atom_site_fract_x
_atom_site_fract_y
_atom_site_fract_z
_atom_site_occupancy
Sr1 Sr 0.2018 0.2982 0.0000 1
Si1 Si 0.0000 0.0000 0.5000 1
B1 B 0.0835 0.5835 0.5000 1
# Formation energy from raw total energies, eV/f.u.: 1.33

# PBE La2Dy4Tm5, relaxed
data_La2Dy4Tm5
_space_group_name_H-M_alt 'I m m m'
_space_group_IT_number 71
_space_group_name_Hall '-I 2 2'
_cell_length_a 3.4671
_cell_length_b 11.5093
_cell_length_c 18.3546
_cell_angle_alpha 90.00
_cell_angle_beta 90.00
_cell_angle_gamma 90.00
loop_
_atom_site_label
_atom_site_type_symbol
_atom_site_fract_x
_atom_site_fract_y
_atom_site_fract_z
_atom_site_occupancy
La1 La 0.0000 0.0000 0.2023 1
Dy1 Dy 0.0000 0.0000 0.4092 1
Dy2 Dy 0.0000 0.2747 0.0000 1
Tm1 Tm 0.0000 0.2881 0.1780 1
Tm2 Tm 0.0000 0.5000 0.5000 1
# Formation enthalpy at 0 K, eV/f.u.: 2.31

# PBE TlTcP2S, relaxed
data_TlTcP2S
_space_group_name_H-M_alt 'P 4/m m m'
_space_group_IT_number 123
_space_group_name_Hall '-P 4 2'
_cell_length_a 4.9448
_cell_length_b 4.9448
_cell_length_c 4.9988
_cell_angle_alpha 90.00
_cell_angle_beta 90.00
_cell_angle_gamma 90.00
loop_
_atom_site_label
_atom_site_type_symbol
_atom_site_fract_x
_atom_site_fract_y
_atom_site_fract_z
_atom_site_occupancy
Tl1 Tl 0.0000 0.0000 0.0000 1
Tc1 Tc 0.5000 0.5000 0.5000 1
P1 P 0.0000 0.5000 0.0000 1
S1 S 0.0000 0.0000 0.5000 1
# Formation energy from raw total energies, eV/f.u.: 10.33

# PBE Zn2Cu8P, relaxed
data_Zn2Cu8P
_space_group_name_H-M_alt 'P -3 m 1'
_space_group_IT_number 164
_space_group_name_Hall '-P 3 2"'
_cell_length_a 4.9130
_cell_length_b 4.9130
_cell_length_c 6.8674
_cell_angle_alpha 90.00
_cell_angle_beta 90.00
_cell_angle_gamma 120.00
loop_
_atom_site_label
_atom_site_type_symbol
_atom_site_fract_x
_atom_site_fract_y
_atom_site_fract_z
_atom_site_occupancy
Zn1 Zn 0.3333 0.6667 0.0726 1
Cu1 Cu 0.1690 0.3379 0.7621 1
Cu2 Cu 0.3333 0.6667 0.4324 1
P1 P 0.0000 0.0000 0.5000 1
# Formation enthalpy at 0 K, eV/f.u.: 0.27

E for the records above, in order: -6.74, -6.87, -1.77, -6.14, -7.01, -7.29, -3.20, -8.98, -4.37, -2.46, -4.57, -8.48, -3.17, -4.16, -4.39, -3.47, -3.68 eV/atom